Entry from Alexandria via LeMat-Bulk: a geometry-optimized La3ReO structure (PBE).

Lattice parameters (Å, degrees): 4.922 4.922 4.922 90.00 90.00 90.00
Space group Pm-3m (No. 221)
Unique sites:
La 0.000 0.000 0.500
Re 0.500 0.500 0.500
O 0.000 0.000 0.000

## Properties
**Total moment**: 0.000 μB/cell
**Offset from the most stable computed form**: 0.0 kJ per mole of atoms
**N(E_F)**: 3.58 states/eV/cell
**Calculated density**: 8621 kg/m3
**E_tot**: -7.239 eV/atom

=====

Entry from Alexandria via LeMat-Bulk: a geometry-optimized LaReO3 structure (PBE).

Lattice parameters (Å, degrees): 4.443 4.443 4.443 90.00 90.00 90.00
Space group Pm-3m (No. 221)
Unique sites:
La 0.000 0.000 0.000
Re 0.500 0.500 0.500
O 0.000 0.000 0.500

## Properties
**Total moment**: 4.690 μB/cell
**N(E_F)**: 2.82 states/eV/cell
**Calculated density**: 7066 kg/m3
**E_tot**: -6.638 eV/atom